1.
This record from Alexandria via LeMat-Bulk describes a relaxed structure of DyHo2NpSb4. The functional is GGA-PBE.

Structure (POSCAR):
```
DyHo2NpSb4
1.0
4.3794 0.0000 0.0000
0.0000 7.5862 0.1395
0.0000 -2.6430 7.1100
Sb Dy Ho Np
4 1 2 1
Cartesian
0.0000 -0.0877 5.3606
0.0000 5.0309 1.8889
2.1897 3.7031 5.4224
2.1897 1.2401 1.8270
2.1897 3.7931 0.0697
2.1897 -1.3215 3.5550
0.0000 2.4716 3.6247
0.0000 0.0000 0.0000
```

DOS(E_F) = 11.6 states/eV per cell
calculated volume = 29.73 A^3/atom
energy relative to the elements, uncorrected = -880.2 meV/atom
magnetization = 0.49 μB per atom
E = -6.279 eV/atom

***

2.
This record from Alexandria via LeMat-Bulk describes a relaxed structure of CsHgPd2. The functional is GGA-PBE.

Structure (POSCAR):
```
CsHgPd2
1.0
5.2770 0.0000 0.0000
0.0000 5.2770 0.0000
2.6385 2.6385 9.4199
Pd Cs Hg
4 2 2
Cartesian
5.5573 3.9578 2.3550
4.9968 1.3193 2.3550
6.5963 2.3583 7.0649
3.9578 2.9188 7.0649
2.6385 2.6385 0.0000
2.6385 5.2770 4.7099
5.2770 2.6385 4.7099
0.0000 0.0000 0.0000
```

DOS(E_F) = 2.5 states/eV per cell
calculated volume = 32.79 A^3/atom
magnetization = 0.00 μB per atom
E = -2.823 eV/atom
formation energy = 0.063 eV/atom

***

3.
This record from Alexandria via LeMat-Bulk describes a relaxed structure of CsBaHg2Bi2. The functional is GGA-PBE.

Structure (POSCAR):
```
CsBaHg2Bi2
1.0
5.2739 0.0000 0.0000
-2.6370 4.5674 0.0000
0.0000 0.0000 10.2252
Ba Bi Cs Hg
1 2 1 2
Cartesian
0.0000 0.0000 5.1126
0.0000 3.0449 7.3947
2.6370 1.5225 2.8305
0.0000 0.0000 0.0000
2.6370 1.5225 7.0860
0.0000 3.0449 3.1392
```

DOS(E_F) = 1.3 states/eV per cell
calculated volume = 41.05 A^3/atom
magnetization = 0.00 μB per atom
E = -2.342 eV/atom
formation energy = -0.485 eV/atom

***

4.
This record from Alexandria via LeMat-Bulk describes a relaxed structure of Nb3PI. The functional is GGA-PBE.

Structure (POSCAR):
```
Nb3PI
1.0
4.7325 0.0000 0.0000
0.0000 4.7325 0.0000
0.0000 0.0000 4.7325
Nb P I
3 1 1
Cartesian
2.3662 0.0000 0.0000
0.0000 0.0000 2.3662
0.0000 2.3662 0.0000
0.0000 0.0000 0.0000
2.3662 2.3662 2.3662
```

DOS(E_F) = 5.3 states/eV per cell
calculated volume = 21.20 A^3/atom
energy relative to the elements, uncorrected = 502.2 meV/atom
magnetization = 0.00 μB per atom
E = -6.932 eV/atom
energy above the lowest structure with this stoichiometry = 0 meV/atom